--- w ---
KRhPb3 | GGA-PBE | relaxed

abc: 5.7532 5.7532 5.7532
angles: 90.00 90.00 90.00
With the nearest neighbours (Å) after each atom.
Element x y z (fractional)
Pb (0.0000, 0.5000, 0.0000)  2 K 2.88
Pb (0.0000, 0.0000, 0.5000)  2 K 2.88
Pb (0.5000, 0.0000, 0.0000)  2 K 2.88
K (0.0000, 0.0000, 0.0000)  6 Pb 2.88
Rh (0.5000, 0.5000, 0.5000)  12 Pb 4.07

Summary:
- Magnetic moment: 0.8 μB per cell
- N(E_F): 1.459 states/eV/atom

***

--- x ---
KRhPb3 | GGA-PBE | relaxed

abc: 4.7433 9.4661 12.7036
angles: 90.00 90.00 90.00
With the nearest neighbours (Å) after each atom.
Element x y z (fractional)
K (0.7500, 0.8183, 0.0016)  7 Pb 3.49-3.80, 2 Rh 3.78
K (0.2500, 0.6817, 0.5016)  7 Pb 3.49-3.80, 2 Rh 3.78
K (0.7500, 0.3183, 0.4984)  7 Pb 3.49-3.80, 2 Rh 3.78
K (0.2500, 0.1817, 0.9984)  7 Pb 3.49-3.80, 2 Rh 3.78
Rh (0.2500, 0.0819, 0.6493)  7 Pb 2.75-2.98
Rh (0.2500, 0.5819, 0.8507)  7 Pb 2.75-2.98
Rh (0.7500, 0.4181, 0.1493)  7 Pb 2.75-2.98
Rh (0.7500, 0.9181, 0.3507)  7 Pb 2.75-2.98
Pb (0.2500, 0.5680, 0.0789)  3 Rh 2.90, 1 Pb 3.21
Pb (0.7500, 0.4320, 0.9211)  3 Rh 2.90, 1 Pb 3.21
Pb (0.2500, 0.0680, 0.4211)  3 Rh 2.90, 1 Pb 3.21
Pb (0.7500, 0.9320, 0.5789)  3 Rh 2.90, 1 Pb 3.21
Pb (0.2500, 0.3636, 0.7079)  2 Rh 2.75-2.77
Pb (0.7500, 0.1364, 0.2079)  2 Rh 2.75-2.77
Pb (0.2500, 0.8636, 0.7921)  2 Rh 2.75-2.77
Pb (0.7500, 0.6234, 0.7125)  2 Rh 2.98, 1 Pb 3.21
Pb (0.2500, 0.3766, 0.2875)  2 Rh 2.98, 1 Pb 3.21
Pb (0.7500, 0.1234, 0.7875)  2 Rh 2.98, 1 Pb 3.21
Pb (0.7500, 0.6364, 0.2921)  2 Rh 2.75-2.77
Pb (0.2500, 0.8766, 0.2125)  2 Rh 2.98, 1 Pb 3.21

Summary:
- Magnetic moment: 0.0 μB per cell
- N(E_F): 0.742 states/eV/atom

***

Most stable structure - x; separation to the second - 1.682 eV/atom.

***

--- w ---
KRh2Pb2 | GGA-PBE | relaxed

abc: 4.8264 4.8264 6.3720
angles: 67.75 67.75 90.00
With the nearest neighbours (Å) after each atom.
Element x y z (fractional)
Pb (0.7500, 0.2500, 0.5000)  4 Rh 2.81
Pb (0.2500, 0.7500, 0.5000)  4 Rh 2.81
K (0.0000, 0.0000, 0.0000)  8 Pb 3.61, 8 Rh 3.64
Rh (0.3830, 0.3830, 0.2340)  1 Rh 2.52, 4 Pb 2.81
Rh (0.6170, 0.6170, 0.7660)  1 Rh 2.52, 4 Pb 2.81

Summary:
- Magnetic moment: 0.0 μB per cell
- N(E_F): 0.849 states/eV/atom

***

--- x ---
KRh2Pb2 | GGA-PBE | relaxed

abc: 8.3476 8.3476 3.1488
angles: 90.00 90.00 90.00
With the nearest neighbours (Å) after each atom.
Element x y z (fractional)
Pb (0.1540, 0.6540, 0.5000)  6 Rh 2.89-2.94, 2 Pb 3.15
Pb (0.6540, 0.8460, 0.5000)  6 Rh 2.89-2.94, 2 Pb 3.15
Pb (0.8460, 0.3460, 0.5000)  6 Rh 2.89-2.94, 2 Pb 3.15
Pb (0.3460, 0.1540, 0.5000)  6 Rh 2.89-2.94, 2 Pb 3.15
K (0.0000, 0.0000, 0.0000)  2 K 3.15, 4 Rh 3.24
K (0.5000, 0.5000, 0.0000)  2 K 3.15, 4 Rh 3.24
Rh (0.3639, 0.8639, 0.0000)  6 Pb 2.89-2.94, 3 Rh 3.15-3.21
Rh (0.8639, 0.6361, 0.0000)  6 Pb 2.89-2.94, 3 Rh 3.15-3.21
Rh (0.6361, 0.1361, 0.0000)  6 Pb 2.89-2.94, 3 Rh 3.15-3.21
Rh (0.1361, 0.3639, 0.0000)  6 Pb 2.89-2.94, 3 Rh 3.15-3.21

Summary:
- Magnetic moment: 0.0 μB per cell
- N(E_F): 0.699 states/eV/atom

***

--- y ---
KRh2Pb2 | GGA-PBE | relaxed

abc: 4.4732 4.4732 7.1345
angles: 71.73 71.73 90.00
With the nearest neighbours (Å) after each atom.
Element x y z (fractional)
Pb (0.3671, 0.3671, 0.2658)  4 Rh 2.69
Pb (0.6329, 0.6329, 0.7342)  4 Rh 2.69
K (0.0000, 0.0000, 0.0000)  8 Pb 3.59, 8 Rh 3.90
Rh (0.7500, 0.2500, 0.5000)  4 Pb 2.69
Rh (0.2500, 0.7500, 0.5000)  4 Pb 2.69

Summary:
- Magnetic moment: 0.0 μB per cell
- N(E_F): 0.595 states/eV/atom

***

Most stable structure - y; separation to the second - 0.092 eV/atom.

***

--- w ---
KRh3Pb | GGA-PBE | relaxed

abc: 5.1167 5.1167 5.1167
angles: 90.00 90.00 90.00
With the nearest neighbours (Å) after each atom.
Element x y z (fractional)
Pb (0.0000, 0.0000, 0.0000)  6 Rh 2.56
K (0.5000, 0.5000, 0.5000)  12 Rh 3.62
Rh (0.0000, 0.5000, 0.0000)  2 Pb 2.56
Rh (0.0000, 0.0000, 0.5000)  2 Pb 2.56
Rh (0.5000, 0.0000, 0.0000)  2 Pb 2.56

Summary:
- Magnetic moment: 1.4 μB per cell
- N(E_F): 1.245 states/eV/atom

***

--- x ---
KRh3Pb | GGA-PBE | relaxed

abc: 4.8282 4.8282 4.8282
angles: 90.00 90.00 90.00
With the nearest neighbours (Å) after each atom.
Element x y z (fractional)
Pb (0.5000, 0.5000, 0.5000)  12 Rh 3.41
K (0.0000, 0.0000, 0.0000)  6 Rh 2.41
Rh (0.0000, 0.5000, 0.0000)  2 K 2.41
Rh (0.0000, 0.0000, 0.5000)  2 K 2.41
Rh (0.5000, 0.0000, 0.0000)  2 K 2.41

Summary:
- Magnetic moment: 1.7 μB per cell
- N(E_F): 1.325 states/eV/atom

***

Most stable structure - w; separation to the second - 0.791 eV/atom.

***

--- w ---
KTlRhPb | GGA-PBE | relaxed

abc: 3.7213 3.7213 8.2469
angles: 90.00 90.00 90.00
With the nearest neighbours (Å) after each atom.
Element x y z (fractional)
K (0.5000, 0.5000, 0.9013)  1 Pb 3.44, 4 Rh 3.66, 4 K 3.72, 4 Tl 3.77
Tl (0.0000, 0.0000, 0.5737)  1 Rh 2.99
Rh (0.0000, 0.0000, 0.2106)  4 Pb 2.78, 1 Tl 2.99
Pb (0.5000, 0.5000, 0.3186)  4 Rh 2.78

Summary:
- Magnetic moment: 0.0 μB per cell
- N(E_F): 0.773 states/eV/atom

***

--- x ---
KTlRhPb | GGA-PBE | relaxed

abc: 3.7633 3.8931 16.8809
angles: 90.00 90.00 90.00
With the nearest neighbours (Å) after each atom.
Element x y z (fractional)
K (0.5000, 0.0000, 0.2447)  2 Rh 3.60, 2 Pb 3.70, 4 K 3.76-3.89, 4 Tl 3.78
K (0.5000, 0.5000, 0.7447)  2 Rh 3.60, 2 Pb 3.70, 4 K 3.76-3.89, 4 Tl 3.78
Tl (0.0000, 0.0000, 0.5885)  1 Rh 2.74
Tl (0.0000, 0.5000, 0.0885)  1 Rh 2.74
Rh (0.0000, 0.0000, 0.4264)  4 Pb 2.71, 1 Tl 2.74
Rh (0.0000, 0.5000, 0.9264)  4 Pb 2.71, 1 Tl 2.74
Pb (0.5000, 0.0000, 0.9313)  4 Rh 2.71
Pb (0.5000, 0.5000, 0.4313)  4 Rh 2.71

Summary:
- Magnetic moment: 0.0 μB per cell
- N(E_F): 0.524 states/eV/atom

***

--- y ---
KTlRhPb | GGA-PBE | relaxed

abc: 7.5989 3.7047 9.3950
angles: 90.00 109.07 90.00
With the nearest neighbours (Å) after each atom.
Element x y z (fractional)
K (0.8963, 0.0000, 0.0264)  2 Rh 3.45, 3 Tl 3.58-3.66, 3 Pb 3.67-3.79, 2 K 3.70
K (0.8963, 0.5000, 0.5264)  2 Rh 3.45, 3 Tl 3.58-3.66, 3 Pb 3.67-3.79, 2 K 3.70
Tl (0.5614, 0.0000, 0.2199)  2 Rh 2.80
Tl (0.5614, 0.5000, 0.7199)  2 Rh 2.80
Rh (0.2922, 0.0000, 0.5618)  3 Pb 2.72-2.74, 2 Tl 2.80
Rh (0.2922, 0.5000, 0.0618)  3 Pb 2.72-2.74, 2 Tl 2.80
Pb (0.2543, 0.0000, 0.8422)  3 Rh 2.72-2.74
Pb (0.2543, 0.5000, 0.3422)  3 Rh 2.72-2.74

Summary:
- Magnetic moment: 0.0 μB per cell
- N(E_F): 0.831 states/eV/atom

***

--- z ---
KTlRhPb | GGA-PBE | relaxed

abc: 3.2644 11.4225 6.8539
angles: 90.00 117.92 90.00
With the nearest neighbours (Å) after each atom.
Element x y z (fractional)
K (0.0000, 0.1209, 0.0000)  2 K 3.26, 4 Rh 3.43-3.45
K (0.0000, 0.6209, 0.5000)  2 K 3.26, 4 Rh 3.43-3.45
Tl (0.5000, 0.9293, 0.5000)  2 Rh 2.78
Tl (0.5000, 0.4293, 0.0000)  2 Rh 2.78
Rh (0.0000, 0.6268, 0.0000)  2 Pb 2.73, 2 Tl 2.78
Rh (0.0000, 0.1268, 0.5000)  2 Pb 2.73, 2 Tl 2.78
Pb (0.5000, 0.3189, 0.5000)  2 Rh 2.73
Pb (0.5000, 0.8189, 0.0000)  2 Rh 2.73

Summary:
- Magnetic moment: 0.0 μB per cell
- N(E_F): 0.622 states/eV/atom

***

Most stable structure - x; separation to the second - 0.009 eV/atom.

***

--- w ---
KRuPb | GGA-PBE | relaxed

abc: 5.0879 5.0879 5.0879
angles: 60.00 60.00 60.00
With the nearest neighbours (Å) after each atom.
Element x y z (fractional)
K (0.7500, 0.7500, 0.7500)  4 Pb 3.12, 4 Ru 3.12
Pb (0.0000, 0.0000, 0.0000)  4 K 3.12
Ru (0.5000, 0.5000, 0.5000)  4 K 3.12

Summary:
- Magnetic moment: 1.5 μB per cell
- N(E_F): 3.540 states/eV/atom

***

--- x ---
KRuPb | GGA-PBE | relaxed

abc: 4.8298 4.8298 4.8298
angles: 60.00 60.00 60.00
With the nearest neighbours (Å) after each atom.
Element x y z (fractional)
K (0.0000, 0.0000, 0.0000)  4 Ru 2.96
Pb (0.5000, 0.5000, 0.5000)  4 Ru 2.96
Ru (0.7500, 0.7500, 0.7500)  4 Pb 2.96, 4 K 2.96

Summary:
- Magnetic moment: 0.2 μB per cell
- N(E_F): 0.906 states/eV/atom

***

Most stable structure - x; separation to the second - 0.838 eV/atom.

***

--- w ---
K2PbS2 | GGA-PBE | relaxed

abc: 4.3272 4.3272 8.1572
angles: 74.62 74.62 90.00
With the nearest neighbours (Å) after each atom.
Element x y z (fractional)
Pb (0.0000, 0.0000, 0.0000)  8 S 3.48
K (0.7500, 0.2500, 0.5000)  4 S 3.03, 4 K 3.06
K (0.2500, 0.7500, 0.5000)  4 S 3.03, 4 K 3.06
S (0.3905, 0.3905, 0.2189)  4 K 3.03, 1 S 3.31
S (0.6095, 0.6095, 0.7811)  4 K 3.03, 1 S 3.31

Summary:
- Magnetic moment: 0.0 μB per cell
- N(E_F): 0.000 states/eV/atom

***

--- x ---
K2PbS2 | GGA-PBE | relaxed

abc: 8.0625 8.0625 4.4449
angles: 90.00 90.00 90.00
With the nearest neighbours (Å) after each atom.
Element x y z (fractional)
Pb (0.0000, 0.0000, 0.0000)  4 S 2.96
Pb (0.5000, 0.5000, 0.0000)  4 S 2.96
K (0.1322, 0.6322, 0.5000)  1 K 3.01, 2 S 3.09
K (0.6322, 0.8678, 0.5000)  1 K 3.01, 2 S 3.09
K (0.8678, 0.3678, 0.5000)  1 K 3.01, 2 S 3.09
K (0.3678, 0.1322, 0.5000)  1 K 3.01, 2 S 3.09
S (0.3199, 0.8199, 0.0000)  2 Pb 2.96, 2 K 3.09
S (0.8199, 0.6801, 0.0000)  2 Pb 2.96, 2 K 3.09
S (0.6801, 0.1801, 0.0000)  2 Pb 2.96, 2 K 3.09
S (0.1801, 0.3199, 0.0000)  2 Pb 2.96, 2 K 3.09

Summary:
- Magnetic moment: 0.0 μB per cell
- N(E_F): 0.106 states/eV/atom

***

Most stable structure - x; separation to the second - 0.313 eV/atom.

***

--- w ---
KPb2S2 | GGA-PBE | relaxed

abc: 7.8777 7.8777 7.5827
angles: 117.61 117.61 96.69
With the nearest neighbours (Å) after each atom.
Element x y z (fractional)
K (0.8749, 0.6251, 0.7500)  2 S 3.23
K (0.1251, 0.3749, 0.2500)  2 S 3.23
Pb (0.2320, 0.9818, 0.4630)  4 S 2.87-3.08, 1 Pb 3.12
Pb (0.4818, 0.7320, 0.9630)  4 S 2.87-3.08, 1 Pb 3.12
Pb (0.7680, 0.0182, 0.5370)  4 S 2.87-3.08, 1 Pb 3.12
Pb (0.5182, 0.2680, 0.0370)  4 S 2.87-3.08, 1 Pb 3.12
S (0.1490, 0.3510, 0.7500)  4 Pb 2.87-3.08
S (0.3996, 0.1004, 0.2500)  4 Pb 2.88-3.08
S (0.6004, 0.8996, 0.7500)  4 Pb 2.88-3.08
S (0.8510, 0.6490, 0.2500)  4 Pb 2.87-3.08

Summary:
- Magnetic moment: 0.0 μB per cell
- N(E_F): 0.513 states/eV/atom

***

--- x ---
KPb2S2 | GGA-PBE | relaxed

abc: 5.4524 5.4524 6.5523
angles: 65.41 65.41 90.00
With the nearest neighbours (Å) after each atom.
Element x y z (fractional)
Pb (0.3412, 0.3412, 0.3176)  4 S 2.89
Pb (0.6588, 0.6588, 0.6824)  4 S 2.89
K (0.0000, 0.0000, 0.0000)  2 Pb 3.62, 8 S 3.80
S (0.7500, 0.2500, 0.5000)  4 Pb 2.89
S (0.2500, 0.7500, 0.5000)  4 Pb 2.89

Summary:
- Magnetic moment: 0.0 μB per cell
- N(E_F): 0.293 states/eV/atom

***

Most stable structure - x; separation to the second - 0.085 eV/atom.

***

--- w ---
K2PbS | GGA-PBE | relaxed

abc: 5.7207 5.7207 5.7207
angles: 60.00 60.00 60.00
With the nearest neighbours (Å) after each atom.
Element x y z (fractional)
Pb (0.5000, 0.5000, 0.5000)  8 K 3.50
K (0.2500, 0.2500, 0.2500)  4 Pb 3.50, 4 S 3.50
K (0.7500, 0.7500, 0.7500)  4 Pb 3.50, 4 S 3.50
S (0.0000, 0.0000, 0.0000)  8 K 3.50

Summary:
- Magnetic moment: 1.3 μB per cell
- N(E_F): 0.924 states/eV/atom

***

--- x ---
K2PbS | GGA-PBE | relaxed

abc: 9.8840 9.8840 7.6165
angles: 49.54 49.54 90.00
With the nearest neighbours (Å) after each atom.
Element x y z (fractional)
Pb (0.0000, 0.0000, 0.0000)  2 S 3.03
Pb (0.7500, 0.2500, 0.5000)  2 S 3.03
K (0.5343, 0.1250, 0.2500)  2 S 3.03
K (0.2157, 0.6250, 0.2500)  2 S 3.03
K (0.3750, 0.4657, 0.7500)  2 S 3.03
K (0.8750, 0.7843, 0.7500)  2 S 3.03
S (0.5000, 0.5000, 0.0000)  4 K 3.03, 2 Pb 3.03
S (0.2500, 0.7500, 0.5000)  4 K 3.03, 2 Pb 3.03

Summary:
- Magnetic moment: 0.0 μB per cell
- N(E_F): 0.702 states/eV/atom

***

Most stable structure - x; separation to the second - 0.224 eV/atom.

***

--- w ---
K2Pb2S3 | GGA-PBE | relaxed

abc: 9.6219 10.8506 10.8506
angles: 83.89 66.00 66.00
With the nearest neighbours (Å) after each atom.
Element x y z (fractional)
K (0.9404, 0.0350, 0.2002)  5 S 3.15-3.29
K (0.4404, 0.2002, 0.0350)  5 S 3.15-3.29
K (0.7500, 0.2773, 0.7227)  4 S 3.24-3.34, 2 Pb 3.62
K (0.7500, 0.5694, 0.4306)  6 S 3.25-3.63
K (0.2500, 0.4306, 0.5694)  6 S 3.25-3.63
K (0.2500, 0.7227, 0.2773)  4 S 3.24-3.34, 2 Pb 3.62
K (0.5596, 0.7998, 0.9650)  5 S 3.15-3.29
K (0.0596, 0.9650, 0.7998)  5 S 3.15-3.29
Pb (0.5848, 0.3942, 0.2361)  3 S 2.66-2.80
Pb (0.5692, 0.0916, 0.5922)  3 S 2.73-2.86
Pb (0.0848, 0.2361, 0.3942)  3 S 2.66-2.80
Pb (0.0692, 0.5922, 0.0916)  3 S 2.73-2.86
Pb (0.9308, 0.4078, 0.9084)  3 S 2.73-2.86
Pb (0.9152, 0.7639, 0.6058)  3 S 2.66-2.80
Pb (0.4308, 0.9084, 0.4078)  3 S 2.73-2.86
Pb (0.4152, 0.6058, 0.7639)  3 S 2.66-2.80
S (0.7002, 0.2738, 0.4364)  2 Pb 2.80-2.82
S (0.7325, 0.5782, 0.1371)  2 Pb 2.73-2.79
S (0.2002, 0.4364, 0.2738)  2 Pb 2.80-2.82
S (0.2325, 0.1371, 0.5782)  2 Pb 2.73-2.79
S (0.7717, 0.2243, 0.0155)  2 Pb 2.66-2.86
S (0.2283, 0.7757, 0.9845)  2 Pb 2.66-2.86
S (0.7675, 0.8629, 0.4218)  2 Pb 2.73-2.79
S (0.7998, 0.5636, 0.7262)  2 Pb 2.80-2.82
S (0.2717, 0.0155, 0.2243)  2 Pb 2.66-2.86
S (0.2675, 0.4218, 0.8629)  2 Pb 2.73-2.79
S (0.2998, 0.7262, 0.5636)  2 Pb 2.80-2.82
S (0.7283, 0.9845, 0.7757)  2 Pb 2.66-2.86

Summary:
- Magnetic moment: 0.0 μB per cell
- N(E_F): 0.000 states/eV/atom

***

--- x ---
K2Pb2S3 | GGA-PBE | relaxed

abc: 4.1374 8.0693 7.6645
angles: 104.74 105.66 90.00
With the nearest neighbours (Å) after each atom.
Element x y z (fractional)
K (0.3742, 0.1260, 0.7485)  5 S 3.12-3.25
K (0.6258, 0.8740, 0.2515)  5 S 3.12-3.25
Pb (0.1324, 0.3215, 0.2649)  3 S 2.73-2.81
Pb (0.8676, 0.6785, 0.7351)  3 S 2.73-2.81
S (0.0000, 0.0000, 0.0000)  2 Pb 2.81, 4 K 3.12
S (0.2585, 0.7340, 0.5171)  2 Pb 2.73
S (0.7415, 0.2660, 0.4829)  2 Pb 2.73

Summary:
- Magnetic moment: 0.0 μB per cell

***

Most stable structure - x; separation to the second - 0.011 eV/atom.

***

--- w ---
KPb3S | GGA-PBE | relaxed

abc: 6.0159 6.0159 6.0159
angles: 90.00 90.00 90.00
With the nearest neighbours (Å) after each atom.
Element x y z (fractional)
Pb (0.0000, 0.5000, 0.0000)  2 K 3.01
Pb (0.0000, 0.0000, 0.5000)  2 K 3.01
Pb (0.5000, 0.0000, 0.0000)  2 K 3.01
K (0.0000, 0.0000, 0.0000)  6 Pb 3.01
S (0.5000, 0.5000, 0.5000)  12 Pb 4.25

Summary:
- Magnetic moment: 0.0 μB per cell
- N(E_F): 1.267 states/eV/atom

***

--- x ---
KPb3S | GGA-PBE | relaxed

abc: 5.6791 5.6791 5.6791
angles: 90.00 90.00 90.00
With the nearest neighbours (Å) after each atom.
Element x y z (fractional)
Pb (0.0000, 0.5000, 0.0000)  2 S 2.84
Pb (0.0000, 0.0000, 0.5000)  2 S 2.84
Pb (0.5000, 0.0000, 0.0000)  2 S 2.84
K (0.5000, 0.5000, 0.5000)  12 Pb 4.02
S (0.0000, 0.0000, 0.0000)  6 Pb 2.84

Summary:
- Magnetic moment: 0.0 μB per cell
- N(E_F): 0.656 states/eV/atom

***

Most stable structure - x; separation to the second - 1.217 eV/atom.

***

--- w ---
K2SbPb | GGA-PBE | relaxed

abc: 5.0139 5.0139 5.4623
angles: 90.00 90.00 90.00
With the nearest neighbours (Å) after each atom.
Element x y z (fractional)
K (0.0000, 0.0000, 0.0000)  4 K 3.55, 4 Sb 3.71, 4 Pb 3.71
K (0.5000, 0.5000, 0.0000)  4 K 3.55, 4 Pb 3.71, 4 Sb 3.71
Pb (0.5000, 0.0000, 0.5000)  4 Sb 3.55, 8 K 3.71
Sb (0.0000, 0.5000, 0.5000)  4 Pb 3.55, 8 K 3.71

Summary:
- Magnetic moment: 0.0 μB per cell
- N(E_F): 0.837 states/eV/atom

***

--- x ---
K2SbPb | GGA-PBE | relaxed

abc: 5.8561 5.8561 5.8561
angles: 60.00 60.00 60.00
With the nearest neighbours (Å) after each atom.
Element x y z (fractional)
K (0.0000, 0.0000, 0.0000)  4 Sb 3.59, 4 K 3.59
K (0.2500, 0.2500, 0.2500)  4 Pb 3.59, 4 K 3.59
Pb (0.5000, 0.5000, 0.5000)  4 Sb 3.59, 4 K 3.59
Sb (0.7500, 0.7500, 0.7500)  4 Pb 3.59, 4 K 3.59

Summary:
- Magnetic moment: 0.0 μB per cell
- N(E_F): 0.276 states/eV/atom

***

Most stable structure - w; separation to the second - 0.007 eV/atom.